# 1
# LiCaO PBE optimized geometry
data_LiCaO
_chemical_formula_sum 'Li3 Ca3 O3'
_space_group_name_H-M_alt 'P 1'
_space_group_IT_number 1
_cell_length_a 3.118
_cell_length_b 7.108
_cell_length_c 7.108
_cell_angle_alpha 120.00
_cell_angle_beta 90.00
_cell_angle_gamma 90.00
loop_
_space_group_symop_operation_xyz
'x,y,z'
loop_
_atom_site_label
_atom_site_fract_x
_atom_site_fract_y
_atom_site_fract_z
_atom_site_occupancy
Li1 0.000 0.000 0.826 1
Li2 0.000 0.826 0.000 1
Li3 0.000 0.174 0.174 1
O1 0.000 0.667 0.333 1
O2 0.000 0.333 0.667 1
O3 0.500 0.000 0.000 1
Ca1 0.500 0.000 0.466 1
Ca2 0.500 0.534 0.534 1
Ca3 0.500 0.466 0.000 1
# Offset from the most stable computed form = 0.416 eV/atom
# Crystal system = hexagonal
# Spin magnetization = 0.276 μB/cell
# D(E_F) = 1.42 states/eV/f.u.



# 2
# TmTiTl PBE optimized geometry
data_TmTiTl
_chemical_formula_sum 'Tm2 Ti2 Tl2'
_space_group_name_H-M_alt 'P 1'
_space_group_IT_number 1
_cell_length_a 4.243
_cell_length_b 4.243
_cell_length_c 7.995
_cell_angle_alpha 90.00
_cell_angle_beta 90.00
_cell_angle_gamma 90.00
loop_
_space_group_symop_operation_xyz
'x,y,z'
loop_
_atom_site_label
_atom_site_fract_x
_atom_site_fract_y
_atom_site_fract_z
_atom_site_occupancy
Tm1 0.000 0.500 0.839 1
Tm2 0.500 0.000 0.161 1
Tl1 0.000 0.500 0.240 1
Tl2 0.500 0.000 0.760 1
Ti1 0.500 0.500 0.500 1
Ti2 0.000 0.000 0.500 1
# Offset from the most stable computed form = 0.000 eV/atom
# Crystal system = tetragonal
# Spin magnetization = 1.683 μB/cell
# D(E_F) = 2.97 states/eV/f.u.
# Energy of formation from the pure elements = -0.111 eV per atom



# 3
# AsIrCl2 PBE optimized geometry
data_AsIrCl2
_chemical_formula_sum 'As1 Ir1 Cl2'
_space_group_name_H-M_alt 'P 1'
_space_group_IT_number 1
_cell_length_a 3.178
_cell_length_b 3.178
_cell_length_c 8.791
_cell_angle_alpha 90.00
_cell_angle_beta 90.00
_cell_angle_gamma 105.58
loop_
_space_group_symop_operation_xyz
'x,y,z'
loop_
_atom_site_label
_atom_site_fract_x
_atom_site_fract_y
_atom_site_fract_z
_atom_site_occupancy
As1 0.500 0.500 0.700 1
Ir1 0.000 0.000 0.531 1
Cl1 0.000 0.000 0.932 1
Cl2 0.500 0.500 0.337 1
# Offset from the most stable computed form = 0.666 eV/atom
# Crystal system = orthorhombic
# Spin magnetization = 0.000 μB/cell
# D(E_F) = 2.15 states/eV/f.u.



What is the offset from the most stable computed form in the third record? 0.666 eV/atom



What is the formula in the first record? LiCaO



Copy entry 2 word for word.
# TmTiTl PBE optimized geometry
data_TmTiTl
_chemical_formula_sum 'Tm2 Ti2 Tl2'
_space_group_name_H-M_alt 'P 1'
_space_group_IT_number 1
_cell_length_a 4.243
_cell_length_b 4.243
_cell_length_c 7.995
_cell_angle_alpha 90.00
_cell_angle_beta 90.00
_cell_angle_gamma 90.00
loop_
_space_group_symop_operation_xyz
'x,y,z'
loop_
_atom_site_label
_atom_site_fract_x
_atom_site_fract_y
_atom_site_fract_z
_atom_site_occupancy
Tm1 0.000 0.500 0.839 1
Tm2 0.500 0.000 0.161 1
Tl1 0.000 0.500 0.240 1
Tl2 0.500 0.000 0.760 1
Ti1 0.500 0.500 0.500 1
Ti2 0.000 0.000 0.500 1
# Offset from the most stable computed form = 0.000 eV/atom
# Crystal system = tetragonal
# Spin magnetization = 1.683 μB/cell
# D(E_F) = 2.97 states/eV/f.u.
# Energy of formation from the pure elements = -0.111 eV per atom



The lowest offset from the most stable computed form belongs to which entry? TmTiTl